HfBi2O5: relaxed, PBE-GGA.

abc: 7.1029 7.1029 7.8124
angles: 118.78 118.78 47.08
With the nearest neighbours (Å) after each atom.
Fractional positions:
Hf 0.0000 0.0000 0.0000  6 O 2.09-2.12
Hf 0.0000 0.0000 0.5000  6 O 2.09-2.12
Bi 0.3547 0.3570 0.7316  3 O 2.22-2.35
Bi 0.3570 0.3547 0.2316  3 O 2.22-2.35
Bi 0.6430 0.6453 0.7684  3 O 2.22-2.35
Bi 0.6453 0.6430 0.2684  3 O 2.22-2.35
O 0.0320 0.3161 0.6883  1 Hf 2.11, 2 Bi 2.22-2.35
O 0.1449 0.8551 0.7500  2 Hf 2.12
O 0.2654 0.6114 0.0335  1 Hf 2.09, 1 Bi 2.24
O 0.3161 0.0320 0.1883  1 Hf 2.11, 2 Bi 2.22-2.35
O 0.3886 0.7346 0.4665  1 Hf 2.09, 1 Bi 2.24
O 0.6114 0.2654 0.5335  1 Hf 2.09, 1 Bi 2.24
O 0.6839 0.9680 0.8117  1 Hf 2.11, 2 Bi 2.22-2.35
O 0.7346 0.3886 0.9665  1 Hf 2.09, 1 Bi 2.24
O 0.8551 0.1449 0.2500  2 Hf 2.12
O 0.9680 0.6839 0.3117  1 Hf 2.11, 2 Bi 2.22-2.35

Output
- E_form (uncorrected) (eV/atom) = -2.0614
- symmetry = No. 15
- mass density (g cm⁻³) = 9.1

Hf2Bi2O7: relaxed, PBE-GGA.

abc: 7.6914 7.6914 7.7172
angles: 120.09 120.09 89.64
With the nearest neighbours (Å) after each atom.
Fractional positions:
Hf 0.0005 0.0005 0.2512  6 O 2.02-2.16
Hf 0.0021 0.4995 0.2503  6 O 2.02-2.16
Hf 0.5005 0.9979 0.7497  6 O 2.02-2.16
Hf 0.9995 0.9995 0.7488  6 O 2.02-2.16
Bi 0.0011 0.5143 0.7082  4 O 2.23-2.39
Bi 0.4588 0.4425 0.1923  4 O 2.23-2.40
Bi 0.4857 0.9989 0.2918  4 O 2.23-2.39
Bi 0.5575 0.5412 0.8077  4 O 2.23-2.40
O 0.0404 0.3168 0.3871  2 Hf 2.06-2.09
O 0.0890 0.9110 0.0000  2 Hf 2.16
O 0.0978 0.3192 0.0298  2 Hf 2.06-2.09
O 0.3091 0.6909 0.5000  2 Hf 2.02
O 0.3264 0.0632 0.4826  2 Hf 2.09-2.14, 1 Bi 2.23
O 0.3316 0.0926 0.9064  2 Hf 2.09-2.13, 1 Bi 2.23
O 0.3762 0.6238 0.0000  4 Bi 2.38-2.39
O 0.6265 0.3735 0.5000  4 Bi 2.39-2.40
O 0.6621 0.3379 0.0000  2 Hf 2.16
O 0.6808 0.9022 0.9702  2 Hf 2.06-2.09
O 0.6832 0.9596 0.6129  2 Hf 2.06-2.09
O 0.9074 0.6684 0.0936  2 Hf 2.09-2.13, 1 Bi 2.23
O 0.9368 0.6736 0.5174  2 Hf 2.09-2.14, 1 Bi 2.23
O 0.9418 0.0582 0.5000  2 Hf 2.02

Output
- E_form (uncorrected) (eV/atom) = -2.5001
- symmetry = No. 5
- mass density (g cm⁻³) = 9.1

HfBi3O: relaxed, PBE-GGA.

abc: 4.9093 4.9093 4.9093
angles: 90.00 90.00 90.00
With the nearest neighbours (Å) after each atom.
Fractional positions:
Hf 0.0000 0.0000 0.0000  12 Bi 3.47
Bi 0.0000 0.5000 0.5000  2 O 2.45
Bi 0.5000 0.0000 0.5000  2 O 2.45
Bi 0.5000 0.5000 0.0000  2 O 2.45
O 0.5000 0.5000 0.5000  6 Bi 2.45

Output
- E_form (uncorrected) (eV/atom) = -0.1051
- ΔE to the lowest computed polymorph (meV/atom) = 0
- symmetry = No. 221
- mass density (g cm⁻³) = 11.5

HfBiO: relaxed, PBE-GGA.

abc: 4.4089 4.4088 6.1210
angles: 90.00 90.16 90.00
With the nearest neighbours (Å) after each atom.
Fractional positions:
Hf 0.2500 0.2500 0.0014  4 O 2.20
Hf 0.7500 0.7500 0.9986  4 O 2.20
Bi 0.2500 0.2500 0.5016  2 Hf 3.06, 4 Bi 3.12
Bi 0.7500 0.7500 0.4984  2 Hf 3.06, 4 Bi 3.12
O 0.2500 0.7500 0.0000  4 Hf 2.20
O 0.7500 0.2500 0.0000  4 Hf 2.20

Output
- E_form (uncorrected) (eV/atom) = -1.5220
- symmetry = No. 11
- mass density (g cm⁻³) = 11.3

HfBiO4: relaxed, PBE-GGA.

abc: 5.4760 7.7858 7.8079
angles: 98.40 91.28 92.85
With the nearest neighbours (Å) after each atom.
Fractional positions:
Hf 0.2205 0.1752 0.3602  6 O 2.02-2.22
Hf 0.2573 0.6767 0.3269  6 O 2.05-2.13
Hf 0.7427 0.3233 0.6731  6 O 2.05-2.13
Hf 0.7795 0.8248 0.6398  6 O 2.02-2.22
Bi 0.2420 0.1362 0.8607  6 O 2.35-2.45
Bi 0.2769 0.6503 0.8180  6 O 2.11-2.24
Bi 0.7231 0.3497 0.1820  6 O 2.11-2.24
Bi 0.7580 0.8638 0.1393  6 O 2.35-2.45
O 0.0093 0.1790 0.1162  2 Bi 2.13-2.38, 1 Hf 2.21
O 0.0777 0.4098 0.8087  1 Bi 2.11, 1 Hf 2.13
O 0.0948 0.6855 0.5671  2 Hf 2.09-2.13, 1 Bi 2.24
O 0.1079 0.9208 0.3260  2 Hf 2.02-2.11
O 0.3929 0.4286 0.3163  2 Hf 2.09-2.22, 1 Bi 2.18
O 0.4063 0.6773 0.0796  1 Hf 2.11, 2 Bi 2.12-2.35
O 0.4137 0.1992 0.5879  2 Hf 2.03-2.05
O 0.4990 0.8878 0.8087  1 Hf 2.08, 1 Bi 2.17
O 0.5010 0.1122 0.1913  1 Hf 2.08, 1 Bi 2.17
O 0.5863 0.8008 0.4121  2 Hf 2.03-2.05
O 0.5937 0.3227 0.9204  1 Hf 2.11, 2 Bi 2.12-2.35
O 0.6071 0.5714 0.6837  2 Hf 2.09-2.22, 1 Bi 2.18
O 0.8921 0.0792 0.6740  2 Hf 2.02-2.11
O 0.9052 0.3145 0.4329  2 Hf 2.09-2.13, 1 Bi 2.24
O 0.9223 0.5902 0.1913  1 Bi 2.11, 1 Hf 2.13
O 0.9907 0.8210 0.8838  2 Bi 2.13-2.38, 1 Hf 2.21

Output
- E_form (uncorrected) (eV/atom) = -2.2556
- symmetry = No. 2
- mass density (g cm⁻³) = 9.1

HfBi2O: relaxed, PBE-GGA.

abc: 7.4998 7.4998 7.4998
angles: 94.09 94.09 149.01
With the nearest neighbours (Å) after each atom.
Fractional positions:
Hf 0.0000 0.0000 0.0000  2 O 2.00
Hf 0.7500 0.2500 0.5000  2 O 2.00
Bi 0.2434 0.6250 0.1184  2 O 2.93, 2 Bi 3.14, 2 Hf 3.26
Bi 0.3750 0.4934 0.6184  2 O 2.93, 2 Bi 3.14, 2 Hf 3.26
Bi 0.5066 0.1250 0.8816  2 O 2.93, 2 Bi 3.14, 2 Hf 3.26
Bi 0.8750 0.7566 0.3816  2 O 2.93, 2 Bi 3.14, 2 Hf 3.26
O 0.2500 0.7500 0.5000  2 Hf 2.00
O 0.5000 0.5000 0.0000  2 Hf 2.00

Output
- E_form (uncorrected) (eV/atom) = -0.6150
- symmetry = No. 122
- mass density (g cm⁻³) = 9.7

HfBiO4: relaxed, PBE-GGA.

abc: 6.0582 6.0582 6.0582
angles: 108.38 108.38 111.67
With the nearest neighbours (Å) after each atom.
Fractional positions:
Hf 0.0000 0.0000 0.0000  6 O 2.09-2.14
Hf 0.7500 0.2500 0.5000  6 O 2.09-2.14
Bi 0.2554 0.7554 0.5000  6 O 2.21-2.31
Bi 0.5054 0.5054 0.0000  6 O 2.21-2.31
O 0.1782 0.4902 0.6880  1 Hf 2.11, 2 Bi 2.21-2.24
O 0.2402 0.0523 0.8120  1 Hf 2.11, 2 Bi 2.21-2.24
O 0.2402 0.4282 0.1880  1 Hf 2.11, 2 Bi 2.21-2.24
O 0.3251 0.0239 0.3013  2 Hf 2.09-2.14, 1 Bi 2.31
O 0.7226 0.0239 0.6987  2 Hf 2.09-2.14, 1 Bi 2.31
O 0.7739 0.5751 0.8013  2 Hf 2.09-2.14, 1 Bi 2.31
O 0.7739 0.9726 0.1987  2 Hf 2.09-2.14, 1 Bi 2.31
O 0.8023 0.4902 0.3120  1 Hf 2.11, 2 Bi 2.21-2.24

Output
- E_form (uncorrected) (eV/atom) = -2.1971
- symmetry = No. 109
- mass density (g cm⁻³) = 8.8

HfBiPO2: relaxed, PBE-GGA.

abc: 4.1845 4.1845 5.4283
angles: 90.00 90.00 90.00
With the nearest neighbours (Å) after each atom.
Fractional positions:
Hf 0.0000 0.0000 0.0000  4 P 2.96
Bi 0.5000 0.5000 0.5000  4 O 2.09
P 0.5000 0.5000 0.0000  2 Bi 2.71, 4 Hf 2.96
O 0.0000 0.5000 0.5000  2 Bi 2.09
O 0.5000 0.0000 0.5000  2 Bi 2.09

Output
- E_form (uncorrected) (eV/atom) = -0.1084
- ΔE to the lowest computed polymorph (meV/atom) = 1455
- symmetry = No. 123
- mass density (g cm⁻³) = 7.9